Rb2Mo2P2O11, relaxed, DFT PBE with a Hubbard U; symmetry = P2_1; final energy = -6.85 eV per atom
1.0
10.158 -0.018 0.000
-1.384 10.095 0.000
0.000 0.000 10.378
O P Mo Rb
44 8 8 8
direct
0.201 0.835 0.800
0.713 0.675 0.939
0.799 0.664 0.200
0.572 0.778 0.146
0.870 0.746 0.445
0.428 0.222 0.646
0.469 0.527 0.000
0.071 0.567 0.711
0.799 0.165 0.300
0.024 0.027 0.022
0.201 0.336 0.700
0.573 0.279 0.359
0.284 0.827 0.064
0.866 0.245 0.052
0.716 0.173 0.564
0.556 0.999 0.249
0.557 0.504 0.258
0.929 0.433 0.211
0.245 0.523 0.905
0.265 0.067 0.946
0.287 0.325 0.439
0.735 0.933 0.446
0.028 0.528 0.476
0.248 0.023 0.596
0.972 0.472 0.976
0.443 0.496 0.758
0.073 0.680 0.261
0.070 0.183 0.235
0.473 0.027 0.504
0.270 0.568 0.553
0.752 0.977 0.096
0.444 0.001 0.749
0.130 0.254 0.945
0.531 0.473 0.500
0.755 0.477 0.405
0.930 0.817 0.735
0.069 0.065 0.787
0.931 0.935 0.287
0.134 0.755 0.552
0.927 0.320 0.761
0.730 0.432 0.053
0.527 0.973 0.004
0.976 0.973 0.522
0.427 0.721 0.859
0.603 0.932 0.126
0.127 0.604 0.574
0.394 0.568 0.877
0.606 0.432 0.377
0.873 0.396 0.074
0.397 0.068 0.626
0.123 0.103 0.924
0.877 0.897 0.424
0.081 0.897 0.676
0.078 0.398 0.821
0.348 0.389 0.585
0.346 0.887 0.917
0.919 0.103 0.176
0.654 0.113 0.417
0.922 0.602 0.321
0.652 0.611 0.085
0.506 0.254 0.931
0.243 0.983 0.305
0.757 0.017 0.805
0.494 0.746 0.431
0.000 0.749 0.000
0.239 0.451 0.185
0.761 0.549 0.685
0.000 0.251 0.500